[1]
Crystalline MgZrV2N at its relaxed geometry. Source: Alexandria via LeMat-Bulk, functional PBE.

Structure (POSCAR):
```
MgZrV2N
1.0
5.182 0.000 0.000
0.000 4.118 0.000
0.000 0.000 5.182
Mg V Zr N
1 2 1 1
Cartesian
2.591 2.059 2.591
0.000 0.000 2.591
2.591 0.000 0.000
0.000 0.000 0.000
0.000 2.059 0.000
```

## Properties
Density of states at the Fermi level = 1.056 states/eV per atom
Magnetization = 5.7 μB per cell
ΔE_f (raw) = 1.29 eV per atom
Electronic total energy = -0.44450 Ry per atom

=====

[2]
Crystalline MgWN at its relaxed geometry. Source: Alexandria via LeMat-Bulk, functional PBE.

Structure (POSCAR):
```
MgWN
1.0
2.941 0.000 0.000
1.470 2.547 0.000
1.470 0.849 10.248
N W Mg
2 2 2
Cartesian
2.941 1.698 2.489
2.941 1.698 7.759
4.411 2.547 9.066
1.470 0.849 1.181
1.470 0.849 6.469
4.411 2.547 3.779
```

## Properties
Density of states at the Fermi level = 0.328 states/eV per atom
Magnetization = 0.0 μB per cell
ΔE_f (raw) = -0.44 eV per atom
Electronic total energy = -0.59241 Ry per atom

=====

[3]
Crystalline Mg3WN at its relaxed geometry. Source: Alexandria via LeMat-Bulk, functional PBE.

Structure (POSCAR):
```
Mg3WN
1.0
-3.027 -4.132 -1.165
1.991 -0.087 -4.861
3.804 -3.243 1.616
Mg W N
3 1 1
Cartesian
0.995 -0.044 -2.430
1.902 -1.621 0.808
-1.514 -2.066 -0.583
0.000 0.000 0.000
1.384 -3.731 -2.205
```

## Properties
Density of states at the Fermi level = 1.200 states/eV per atom
Magnetization = 3.4 μB per cell
Energy above the most stable polymorph in this dataset = 1882.8 meV/atom
ΔE_f (raw) = 2.38 eV per atom
Electronic total energy = -0.20815 Ry per atom

=====

[4]
Crystalline MgW2N at its relaxed geometry. Source: Alexandria via LeMat-Bulk, functional PBE.

Structure (POSCAR):
```
MgW2N
1.0
5.353 0.000 0.000
0.000 5.353 0.000
2.677 2.677 5.397
N W Mg
2 4 2
Cartesian
2.677 5.353 2.698
2.677 2.677 0.000
6.691 5.751 4.048
2.279 4.015 1.349
4.015 4.955 4.048
3.074 1.338 1.349
5.353 2.677 2.698
0.000 0.000 0.000
```

## Properties
Density of states at the Fermi level = 0.923 states/eV per atom
Magnetization = 0.0 μB per cell
Energy above the most stable polymorph in this dataset = 0.0 meV/atom
ΔE_f (raw) = 0.88 eV per atom
Electronic total energy = -0.59368 Ry per atom

=====

[5]
Crystalline MgWN2 at its relaxed geometry. Source: Alexandria via LeMat-Bulk, functional PBE.

Structure (POSCAR):
```
MgWN2
1.0
-2.049 -1.749 -1.249
0.592 -2.869 -0.482
-2.381 -2.730 4.210
Mg N W
1 2 1
Cartesian
-1.919 -3.674 1.239
-0.954 -1.834 0.605
-2.884 -5.515 1.874
0.000 0.000 0.000
```

## Properties
Density of states at the Fermi level = 0.375 states/eV per atom
Magnetization = 0.0 μB per cell
ΔE_f (raw) = -0.63 eV per atom
Electronic total energy = -0.61933 Ry per atom

=====

[6]
Crystalline MgW2N at its relaxed geometry. Source: Alexandria via LeMat-Bulk, functional PBE.

Structure (POSCAR):
```
MgW2N
1.0
1.493 -3.992 0.467
-1.267 -2.387 3.329
-2.602 -3.350 -0.631
W N Mg
2 1 1
Cartesian
-1.781 -7.297 2.374
-0.594 -2.432 0.791
0.000 0.000 0.000
-1.188 -4.865 1.583
```

## Properties
Density of states at the Fermi level = 0.981 states/eV per atom
Magnetization = 0.0 μB per cell
Energy above the most stable polymorph in this dataset = 901.2 meV/atom
ΔE_f (raw) = 1.78 eV per atom
Electronic total energy = -0.52745 Ry per atom

=====

[7]
Crystalline Mg3WN at its relaxed geometry. Source: Alexandria via LeMat-Bulk, functional PBE.

Structure (POSCAR):
```
Mg3WN
1.0
4.305 0.000 0.000
0.000 4.305 0.000
0.000 0.000 4.305
N W Mg
1 1 3
Cartesian
0.000 0.000 0.000
2.152 2.152 2.152
2.152 0.000 0.000
0.000 2.152 0.000
0.000 0.000 2.152
```

## Properties
Density of states at the Fermi level = 0.372 states/eV per atom
Magnetization = 2.8 μB per cell
Energy above the most stable polymorph in this dataset = 0.0 meV/atom
ΔE_f (raw) = 0.50 eV per atom
Electronic total energy = -0.34653 Ry per atom

=====

[8]
Crystalline MgW3N at its relaxed geometry. Source: Alexandria via LeMat-Bulk, functional PBE.

Structure (POSCAR):
```
MgW3N
1.0
-2.464 -1.689 3.423
-3.150 -1.401 -2.958
2.156 -3.978 -0.411
W Mg N
3 1 1
Cartesian
-1.232 -0.844 1.712
-1.575 -0.701 -1.479
1.078 -1.989 -0.206
0.000 0.000 0.000
-1.729 -3.534 0.027
```

## Properties
Density of states at the Fermi level = 0.894 states/eV per atom
Magnetization = 0.0 μB per cell
Energy above the most stable polymorph in this dataset = 3569.7 meV/atom
ΔE_f (raw) = 3.74 eV per atom
Electronic total energy = -0.44212 Ry per atom

=====

[9]
Crystalline MgW3N at its relaxed geometry. Source: Alexandria via LeMat-Bulk, functional PBE.

Structure (POSCAR):
```
MgW3N
1.0
4.167 0.000 0.000
0.000 4.167 0.000
0.000 0.000 4.167
W Mg N
3 1 1
Cartesian
2.083 0.000 0.000
0.000 2.083 0.000
0.000 0.000 2.083
2.083 2.083 2.083
0.000 0.000 0.000
```

## Properties
Density of states at the Fermi level = 0.475 states/eV per atom
Magnetization = 0.0 μB per cell
Energy above the most stable polymorph in this dataset = 0.0 meV/atom
ΔE_f (raw) = 0.17 eV per atom
Electronic total energy = -0.70449 Ry per atom

=====

[10]
Crystalline MgZn2WN4 at its relaxed geometry. Source: Alexandria via LeMat-Bulk, functional PBE.

Structure (POSCAR):
```
MgZn2WN4
1.0
-3.134 3.518 -0.585
-1.214 -0.321 4.578
5.378 1.432 -0.935
N Zn W Mg
4 2 1 1
Cartesian
1.437 3.046 1.730
3.443 1.571 -0.112
-0.967 1.435 3.441
-1.853 3.206 1.059
0.995 1.355 2.820
0.035 3.274 0.239
-2.174 1.599 1.997
0.000 0.000 0.000
```

## Properties
Density of states at the Fermi level = 0.000 states/eV per atom
Magnetization = 0.0 μB per cell
ΔE_f (raw) = -0.46 eV per atom
Electronic total energy = -0.49670 Ry per atom

=====

[11]
Crystalline Y2Mg2N at its relaxed geometry. Source: Alexandria via LeMat-Bulk, functional PBE.

Structure (POSCAR):
```
Y2Mg2N
1.0
-2.593 5.467 0.856
0.327 -0.793 6.050
5.294 2.505 0.042
Y Mg N
4 4 2
Cartesian
2.425 1.651 4.221
0.603 5.528 2.728
1.847 2.921 1.333
1.180 4.258 5.616
-0.352 0.708 2.109
-1.915 3.966 4.798
-1.697 3.558 1.647
-0.570 1.116 5.260
-1.133 2.337 3.453
0.000 0.000 0.000
```

## Properties
Density of states at the Fermi level = 0.925 states/eV per atom
Magnetization = 0.0 μB per cell
Energy above the most stable polymorph in this dataset = 0.0 meV/atom
ΔE_f (raw) = 0.24 eV per atom
Electronic total energy = -0.34182 Ry per atom

=====

[12]
Crystalline Y2MgN at its relaxed geometry. Source: Alexandria via LeMat-Bulk, functional PBE.

Structure (POSCAR):
```
Y2MgN
1.0
-1.265 3.059 0.972
-3.066 0.178 1.572
2.692 0.193 9.013
N Y Mg
1 2 1
Cartesian
-0.819 1.715 5.779
-2.858 2.922 5.452
1.219 0.509 6.105
0.000 0.000 0.000
```

## Properties
Density of states at the Fermi level = 1.035 states/eV per atom
Magnetization = 0.3 μB per cell
Energy above the most stable polymorph in this dataset = 178.6 meV/atom
ΔE_f (raw) = -0.63 eV per atom
Electronic total energy = -0.46617 Ry per atom

=====

[13]
Crystalline Y2MgN at its relaxed geometry. Source: Alexandria via LeMat-Bulk, functional PBE.

Structure (POSCAR):
```
Y2MgN
1.0
0.000 3.480 3.480
3.480 0.000 3.480
3.480 3.480 0.000
N Mg Y
1 1 2
Cartesian
0.000 0.000 0.000
3.480 3.480 3.480
5.220 5.220 5.220
1.740 1.740 1.740
```

## Properties
Density of states at the Fermi level = 1.505 states/eV per atom
Magnetization = 0.0 μB per cell
Energy above the most stable polymorph in this dataset = 1346.4 meV/atom
ΔE_f (raw) = 0.54 eV per atom
Electronic total energy = -0.38033 Ry per atom

=====

[14]
Crystalline Y2MgN at its relaxed geometry. Source: Alexandria via LeMat-Bulk, functional PBE.

Structure (POSCAR):
```
Y2MgN
1.0
-2.073 6.641 -0.032
-5.767 -1.783 3.460
-1.919 3.071 5.379
N Mg Y
2 2 4
Cartesian
-3.920 2.429 1.714
-5.803 1.859 5.276
0.000 0.000 0.000
-3.956 6.071 3.530
-4.583 1.252 3.499
-2.256 3.927 1.761
-5.047 3.919 5.720
-7.632 6.761 6.633
```

## Properties
Density of states at the Fermi level = 0.982 states/eV per atom
Magnetization = 0.0 μB per cell
Energy above the most stable polymorph in this dataset = 245.7 meV/atom
ΔE_f (raw) = -0.56 eV per atom
Electronic total energy = -0.46124 Ry per atom

=====

[15]
Crystalline Y2MgN at its relaxed geometry. Source: Alexandria via LeMat-Bulk, functional PBE.

Structure (POSCAR):
```
Y2MgN
1.0
-1.827 -2.974 -0.235
3.413 0.022 -0.767
3.623 -3.490 16.023
N Mg Y
2 2 4
Cartesian
0.000 0.000 0.000
1.811 -1.745 8.012
0.826 -2.848 3.594
4.384 -3.594 11.428
1.956 -1.255 0.688
3.254 -5.187 14.333
3.189 -2.443 6.144
2.020 -3.999 8.877
```

## Properties
Density of states at the Fermi level = 0.752 states/eV per atom
Magnetization = 1.5 μB per cell
Energy above the most stable polymorph in this dataset = 0.0 meV/atom
ΔE_f (raw) = -0.81 eV per atom
Electronic total energy = -0.47929 Ry per atom

=====

[16]
Crystalline YMgN at its relaxed geometry. Source: Alexandria via LeMat-Bulk, functional PBE.

Structure (POSCAR):
```
YMgN
1.0
-0.618 -3.086 -2.535
0.654 -3.792 1.235
-8.059 -2.831 2.189
Mg N Y
2 2 2
Cartesian
-3.187 -2.506 0.606
-4.836 -7.202 0.283
-6.954 -7.344 0.971
-1.069 -2.365 -0.082
-6.911 -5.048 1.387
-1.112 -4.661 -0.498
```

## Properties
Density of states at the Fermi level = 0.196 states/eV per atom
Magnetization = 0.0 μB per cell
ΔE_f (raw) = -0.86 eV per atom
Electronic total energy = -0.46491 Ry per atom

=====

[17]
Crystalline Y2Mg2N at its relaxed geometry. Source: Alexandria via LeMat-Bulk, functional PBE.

Structure (POSCAR):
```
Y2Mg2N
1.0
-0.853 -1.281 -3.753
3.888 0.485 -1.049
3.044 -7.872 -0.197
Mg Y N
2 2 1
Cartesian
4.305 -7.013 -2.969
1.774 -1.655 -2.030
4.225 -3.893 -1.824
1.854 -4.776 -3.176
0.000 0.000 0.000
```

## Properties
Density of states at the Fermi level = 0.694 states/eV per atom
Magnetization = 0.0 μB per cell
Energy above the most stable polymorph in this dataset = 1037.6 meV/atom
ΔE_f (raw) = 1.28 eV per atom
Electronic total energy = -0.26555 Ry per atom

=====

[18]
Crystalline Y2MgZnN at its relaxed geometry. Source: Alexandria via LeMat-Bulk, functional PBE.

Structure (POSCAR):
```
Y2MgZnN
1.0
-0.048 4.584 -1.518
0.606 -1.500 -4.550
-4.210 -0.207 -0.492
Y Zn N Mg
2 1 1 1
Cartesian
-0.024 2.292 -0.759
0.303 -0.750 -2.275
-1.826 1.438 -3.280
0.000 0.000 0.000
-2.105 -0.104 -0.246
```

## Properties
Density of states at the Fermi level = 0.762 states/eV per atom
Magnetization = 0.0 μB per cell
ΔE_f (raw) = -0.69 eV per atom
Electronic total energy = -0.40545 Ry per atom

=====

[19]
Crystalline YMg2ZnN at its relaxed geometry. Source: Alexandria via LeMat-Bulk, functional PBE.

Structure (POSCAR):
```
YMg2ZnN
1.0
-0.140 -2.939 -3.188
4.189 0.735 -0.861
1.237 -3.422 3.100
Mg N Zn Y
2 1 1 1
Cartesian
-0.070 -1.470 -1.594
2.094 0.367 -0.430
0.000 0.000 0.000
2.643 -2.813 -0.475
0.619 -1.711 1.550
```

## Properties
Density of states at the Fermi level = 0.522 states/eV per atom
Magnetization = 0.0 μB per cell
ΔE_f (raw) = -0.50 eV per atom
Electronic total energy = -0.31940 Ry per atom

=====

[20]
Crystalline YMgZr2N at its relaxed geometry. Source: Alexandria via LeMat-Bulk, functional PBE.

Structure (POSCAR):
```
YMgZr2N
1.0
4.556 0.000 0.000
0.000 4.556 0.000
0.000 0.000 4.831
Zr N Mg Y
2 1 1 1
Cartesian
2.278 0.000 0.000
0.000 2.278 0.000
0.000 0.000 0.000
2.278 2.278 2.416
0.000 0.000 2.416
```

## Properties
Density of states at the Fermi level = 0.650 states/eV per atom
Magnetization = 0.0 μB per cell
ΔE_f (raw) = -0.69 eV per atom
Electronic total energy = -0.54275 Ry per atom

=====

[21]
Crystalline Y2MgZr3N6 at its relaxed geometry. Source: Alexandria via LeMat-Bulk, functional PBE.

Structure (POSCAR):
```
Y2MgZr3N6
1.0
-1.210 -3.032 -0.534
2.338 -1.973 5.912
-6.073 3.921 1.743
Y Zr N Mg
2 3 6 1
Cartesian
-1.425 0.143 2.420
-3.519 -1.227 4.701
0.564 -2.503 2.689
-4.715 -0.224 1.711
-0.230 -0.860 5.410
1.687 -1.452 4.426
-2.272 -0.234 6.481
-1.382 -1.907 3.715
-2.673 -0.851 0.640
-6.631 0.368 2.695
-3.562 0.822 3.406
-0.605 -1.516 -0.267
```

## Properties
Density of states at the Fermi level = 0.242 states/eV per atom
Magnetization = 0.0 μB per cell
ΔE_f (raw) = -1.57 eV per atom
Electronic total energy = -0.66760 Ry per atom

=====

[22]
Crystalline MgZn8N6 at its relaxed geometry. Source: Alexandria via LeMat-Bulk, functional PBE.

Structure (POSCAR):
```
MgZn8N6
1.0
6.012 0.000 0.000
-3.006 5.206 0.000
0.000 0.000 11.645
Zn N Mg
16 12 2
Cartesian
1.758 0.000 3.213
3.006 1.735 10.793
0.000 3.471 10.793
3.644 0.000 1.347
-1.184 2.050 7.170
-0.879 1.523 3.213
-2.127 3.684 9.035
3.006 1.735 4.970
2.367 0.000 7.170
1.822 3.156 7.170
-1.822 3.156 1.347
1.184 2.050 1.347
2.127 3.684 3.213
0.879 1.523 9.035
0.000 3.471 4.970
4.253 0.000 9.035
-2.002 3.468 11.021
-1.004 1.738 5.199
3.006 1.735 2.359
0.000 0.000 7.950
0.000 3.471 8.182
2.002 3.468 5.199
0.000 3.471 2.359
2.007 0.000 5.199
3.006 1.735 8.182
4.005 0.000 11.021
0.000 0.000 2.128
1.004 1.738 11.021
0.000 0.000 11.529
0.000 0.000 5.707
```

## Properties
Density of states at the Fermi level = 0.062 states/eV per atom
Magnetization = 0.0 μB per cell
ΔE_f (raw) = 0.04 eV per atom
Electronic total energy = -0.29978 Ry per atom

=====

[23]
Crystalline MgZn2N at its relaxed geometry. Source: Alexandria via LeMat-Bulk, functional PBE.

Structure (POSCAR):
```
MgZn2N
1.0
-1.508 2.637 3.131
-3.744 2.162 -0.584
-3.546 -1.124 2.278
N Zn Mg
1 2 1
Cartesian
0.000 0.000 0.000
-2.199 0.918 1.206
-6.598 2.755 3.618
-4.399 1.837 2.412
```

## Properties
Density of states at the Fermi level = 0.733 states/eV per atom
Magnetization = 0.3 μB per cell
Energy above the most stable polymorph in this dataset = 652.8 meV/atom
ΔE_f (raw) = 0.92 eV per atom
Electronic total energy = -0.16130 Ry per atom

=====

[24]
Crystalline Mg5ZnN4 at its relaxed geometry. Source: Alexandria via LeMat-Bulk, functional PBE.

Structure (POSCAR):
```
Mg5ZnN4
1.0
-2.106 3.720 5.727
4.261 -3.546 3.871
3.723 3.492 -0.899
N Mg Zn
8 10 2
Cartesian
6.222 2.574 7.306
2.964 2.808 8.169
2.914 0.857 0.531
1.868 2.704 3.374
-0.345 1.092 1.394
4.010 0.962 5.325
4.102 4.339 5.379
1.776 -0.673 3.320
3.968 2.528 3.823
1.070 2.620 7.158
4.304 2.652 6.550
3.179 0.865 9.073
4.807 1.046 1.541
1.573 1.014 2.150
4.018 -0.618 6.791
2.699 2.801 -0.374
1.910 1.137 4.876
1.859 4.283 1.908
2.191 4.442 4.610
3.686 -0.776 4.089
```

## Properties
Magnetization = 0.0 μB per cell
ΔE_f (raw) = -0.55 eV per atom
Electronic total energy = -0.35279 Ry per atom

=====

[25]
Crystalline MgZn2N at its relaxed geometry. Source: Alexandria via LeMat-Bulk, functional PBE.

Structure (POSCAR):
```
MgZn2N
1.0
5.990 0.000 0.000
0.000 5.990 0.000
2.995 2.995 4.087
Zn N Mg
4 2 2
Cartesian
3.695 1.497 1.022
4.492 5.290 3.066
7.487 6.690 3.066
2.295 4.492 1.022
2.995 2.995 0.000
2.995 5.990 2.044
0.000 0.000 0.000
5.990 2.995 2.044
```

## Properties
Density of states at the Fermi level = 0.539 states/eV per atom
Magnetization = 0.0 μB per cell
Energy above the most stable polymorph in this dataset = 0.0 meV/atom
ΔE_f (raw) = 0.27 eV per atom
Electronic total energy = -0.20928 Ry per atom